Entry 1:
# PBE-GGA La3Mg2, optimized geometry
# E_form = 23 kJ/mol of formula units
# total magnetic moment = 0.00 μB per cell
# total DFT energy (no corrections) = -3.5460 eV/atom
# ρ = 4.68 g cm⁻³
data_La3Mg2
_chemical_formula_sum 'La24 Mg16'
_cell_length_a 13.835
_cell_length_b 25.855
_cell_length_c 3.690
_cell_angle_alpha 90.00
_cell_angle_beta 90.00
_cell_angle_gamma 90.00
_space_group_name_H-M_alt 'F d d 2'
_space_group_IT_number 43
_space_group_name_Hall 'F 2 -2d'
loop_
_atom_site_label
_atom_site_fract_x
_atom_site_fract_y
_atom_site_fract_z
La1 0.000 0.000 0.000
La2 0.117 0.146 0.792
Mg1 0.052 0.285 0.719



Entry 2:
# PBE-GGA LaMg, optimized geometry
# E_form = 10 kJ/mol of formula units
# total magnetic moment = 0.00 μB per cell
# total DFT energy (no corrections) = -3.2096 eV/atom
# ρ = 4.42 g cm⁻³
data_LaMg
_chemical_formula_sum 'La2 Mg2'
_cell_length_a 3.5144
_cell_length_b 3.5144
_cell_length_c 11.4708
_cell_angle_alpha 90.00
_cell_angle_beta 90.00
_cell_angle_gamma 120.00
_space_group_name_H-M_alt 'P -3 m 1'
_space_group_IT_number 164
_space_group_name_Hall '-P 3 2"'
loop_
_atom_site_label
_atom_site_fract_x
_atom_site_fract_y
_atom_site_fract_z
La1 0.3333 0.6667 0.1392
Mg1 0.3333 0.6667 0.6085



Entry 3:
# PBE-GGA La3Mg2, optimized geometry
# E_form = 56 kJ/mol of formula units
# total magnetic moment = 0.00 μB per cell
# total DFT energy (no corrections) = -3.4787 eV/atom
# ρ = 4.49 g cm⁻³
data_La3Mg2
_chemical_formula_sum 'La3 Mg2'
_cell_length_a 5.4236
_cell_length_b 5.4236
_cell_length_c 6.7599
_cell_angle_alpha 90.00
_cell_angle_beta 90.00
_cell_angle_gamma 120.00
_space_group_name_H-M_alt 'P -3 m 1'
_space_group_IT_number 164
_space_group_name_Hall '-P 3 2"'
loop_
_atom_site_label
_atom_site_fract_x
_atom_site_fract_y
_atom_site_fract_z
La1 0.0000 0.0000 0.0000
La2 0.3333 0.6667 0.3763
Mg1 0.3333 0.6667 0.8719



Entry 4:
# PBE-GGA La2Mg, optimized geometry
# E_form = 43 kJ/mol of formula units
# total magnetic moment = 0.00 μB per cell
# total DFT energy (no corrections) = -3.6688 eV/atom
# ρ = 5.19 g cm⁻³
data_La2Mg
_chemical_formula_sum 'La8 Mg4'
_cell_length_a 7.1336
_cell_length_b 7.1336
_cell_length_c 8.7681
_cell_angle_alpha 90.00
_cell_angle_beta 90.00
_cell_angle_gamma 120.00
_space_group_name_H-M_alt 'P 63/m m c'
_space_group_IT_number 194
_space_group_name_Hall '-P 6c 2c'
loop_
_atom_site_label
_atom_site_fract_x
_atom_site_fract_y
_atom_site_fract_z
La1 0.0000 0.0000 0.0000
La2 0.1844 0.3689 0.2500
Mg1 0.3333 0.6667 0.5806



Entry 5:
# PBE-GGA LaMg3, optimized geometry
# E_form = -21 kJ/mol of formula units
# total magnetic moment = 0.02 μB per cell
# total DFT energy (no corrections) = -2.4821 eV/atom
# ρ = 3.29 g cm⁻³
data_LaMg3
_chemical_formula_sum 'La1 Mg3'
_cell_length_a 3.417
_cell_length_b 3.517
_cell_length_c 8.899
_cell_angle_alpha 90.00
_cell_angle_beta 90.00
_cell_angle_gamma 90.00
_space_group_name_H-M_alt 'P m m m'
_space_group_IT_number 47
_space_group_name_Hall '-P 2 2'
loop_
_atom_site_label
_atom_site_fract_x
_atom_site_fract_y
_atom_site_fract_z
La1 0.000 0.000 0.000
Mg1 0.000 0.000 0.500
Mg2 0.500 0.500 0.283



Entry 6:
# PBE-GGA LaMg, optimized geometry
# E_form = 33 kJ/mol of formula units
# total magnetic moment = 0.15 μB per cell
# total DFT energy (no corrections) = -3.0882 eV/atom
# ρ = 4.16 g cm⁻³
data_LaMg
_chemical_formula_sum 'La16 Mg16'
_cell_length_a 6.629
_cell_length_b 11.812
_cell_length_c 13.316
_cell_angle_alpha 90.00
_cell_angle_beta 90.00
_cell_angle_gamma 90.00
_space_group_name_H-M_alt 'F d d d'
_space_group_IT_number 70
loop_
_space_group_symop_operation_xyz
'x,y,z'
'-x,-y,-z'
'-x+1/4,-y+1/4,z'
'x+1/4,y+1/4,-z'
'x,-y+1/4,-z+1/4'
'-x,y+1/4,z+1/4'
'-x+1/4,y,-z+1/4'
'x+1/4,-y,z+1/4'
'x,y+1/2,z+1/2'
'-x,-y+1/2,-z+1/2'
'-x+1/4,-y+3/4,z+1/2'
'x+1/4,y+3/4,-z+1/2'
'x,-y+3/4,-z+3/4'
'-x,y+3/4,z+3/4'
'-x+1/4,y+1/2,-z+3/4'
'x+1/4,-y+1/2,z+3/4'
'x+1/2,y,z+1/2'
'-x+1/2,-y,-z+1/2'
'-x+3/4,-y+1/4,z+1/2'
'x+3/4,y+1/4,-z+1/2'
'x+1/2,-y+1/4,-z+3/4'
'-x+1/2,y+1/4,z+3/4'
'-x+3/4,y,-z+3/4'
'x+3/4,-y,z+3/4'
'x+1/2,y+1/2,z'
'-x+1/2,-y+1/2,-z'
'-x+3/4,-y+3/4,z'
'x+3/4,y+3/4,-z'
'x+1/2,-y+3/4,-z+1/4'
'-x+1/2,y+3/4,z+1/4'
'-x+3/4,y+1/2,-z+1/4'
'x+3/4,-y+1/2,z+1/4'
loop_
_atom_site_label
_atom_site_fract_x
_atom_site_fract_y
_atom_site_fract_z
La1 0.125 0.362 0.125
Mg1 0.105 0.375 0.875



Entry 7:
# PBE-GGA LaMg, optimized geometry
# E_form = -14 kJ/mol of formula units
# total magnetic moment = 0.00 μB per cell
# total DFT energy (no corrections) = -3.3316 eV/atom
# ρ = 4.41 g cm⁻³
data_LaMg
_chemical_formula_sum 'La2 Mg2'
_cell_length_a 3.476
_cell_length_b 5.287
_cell_length_c 6.903
_cell_angle_alpha 90.00
_cell_angle_beta 104.29
_cell_angle_gamma 90.00
_space_group_name_H-M_alt 'P 1 21/m 1'
_space_group_IT_number 11
_space_group_name_Hall '-P 2yb'
loop_
_atom_site_label
_atom_site_fract_x
_atom_site_fract_y
_atom_site_fract_z
La1 0.168 0.250 0.339
Mg1 0.439 0.250 0.876



Entry 8:
# PBE-GGA LaMg, optimized geometry
# E_form = -11 kJ/mol of formula units
# total magnetic moment = 0.00 μB per cell
# total DFT energy (no corrections) = -3.3177 eV/atom
# ρ = 4.47 g cm⁻³
data_LaMg
_chemical_formula_sum 'La6 Mg6'
_cell_length_a 12.894
_cell_length_b 3.793
_cell_length_c 7.832
_cell_angle_alpha 90.00
_cell_angle_beta 108.21
_cell_angle_gamma 90.00
_space_group_name_H-M_alt 'C 1 m 1'
_space_group_IT_number 8
_space_group_name_Hall 'C -2y'
loop_
_atom_site_label
_atom_site_fract_x
_atom_site_fract_y
_atom_site_fract_z
La1 0.000 0.000 0.000
La2 0.016 0.000 0.475
La3 0.333 0.000 0.654
Mg1 0.175 0.500 0.843
Mg2 0.190 0.500 0.303
Mg3 0.319 0.000 0.142



Question: What is the formula in the first record?
Answer: La3Mg2